(1)
First-principles (PBE) data for a relaxed structure of BeSiRu3, as listed in Alexandria via LeMat-Bulk.

a = 4.0707 Å, b = 4.0707 Å, c = 4.0707 Å
α = 90.00°, β = 90.00°, γ = 90.00°
With the nearest neighbours (Å) after each atom.
Space group Pm-3m (No. 221)
Unique sites:
Be: 0.0000 0.0000 0.0000 [1 per cell]  6 Ru 2.04
Si: 0.5000 0.5000 0.5000 [1 per cell]  12 Ru 2.88
Ru: 0.0000 0.0000 0.5000 [3 per cell]  2 Be 2.04

Computed properties:
Uncorrected formation energy (eV per atom): 0.44
Energy relative to the lowest polymorph listed for this composition (eV per atom): 0.000

***

(2)
First-principles (PBE) data for a relaxed structure of BeSiRu, as listed in Alexandria via LeMat-Bulk.

a = 5.4850 Å, b = 5.4850 Å, c = 5.4850 Å
α = 90.00°, β = 90.00°, γ = 90.00°
With the nearest neighbours (Å) after each atom.
Space group F-43m (No. 216)
Unique sites:
Be: 0.0000 0.0000 0.0000 [4 per cell]  4 Ru 2.38
Si: 0.0000 0.0000 0.5000 [4 per cell]  4 Ru 2.38
Ru: 0.2500 0.2500 0.7500 [4 per cell]  4 Be 2.38, 4 Si 2.38

Computed properties:
Uncorrected formation energy (eV per atom): -0.13
Energy relative to the lowest polymorph listed for this composition (eV per atom): 0.450

***

(3)
First-principles (PBE) data for a relaxed structure of BeSiRu, as listed in Alexandria via LeMat-Bulk.

a = 2.9009 Å, b = 4.5916 Å, c = 11.2336 Å
α = 90.00°, β = 90.00°, γ = 90.00°
With the nearest neighbours (Å) after each atom.
Space group Fmm2 (No. 42)
Unique sites:
Be: 0.0000 0.0000 0.0000 [4 per cell]  2 Ru 2.32, 2 Si 2.37
Si: 0.0000 0.0000 0.3331 [4 per cell]  2 Be 2.37, 2 Ru 2.41
Ru: 0.0000 0.0000 0.6614 [4 per cell]  2 Be 2.32, 2 Si 2.41

Computed properties:
Uncorrected formation energy (eV per atom): 0.14
Energy relative to the lowest polymorph listed for this composition (eV per atom): 0.720

***

(4)
First-principles (PBE) data for a relaxed structure of BeSiRu, as listed in Alexandria via LeMat-Bulk.

a = 3.9138 Å, b = 2.9076 Å, c = 6.3513 Å
α = 90.00°, β = 102.06°, γ = 90.00°
With the nearest neighbours (Å) after each atom.
Space group P2_1/m (No. 11)
Unique sites:
Be: 0.2403 0.2500 0.4917 [2 per cell]  3 Ru 2.39-2.53, 4 Be 2.40-2.48, 2 Si 2.51
Si: 0.1701 0.7500 0.1637 [2 per cell]  5 Ru 2.44-2.51, 2 Be 2.51, 2 Si 2.66
Ru: 0.3135 0.7500 0.7958 [2 per cell]  3 Be 2.39-2.53, 5 Si 2.44-2.51

Computed properties:
Uncorrected formation energy (eV per atom): -0.38
Energy relative to the lowest polymorph listed for this composition (eV per atom): 0.207

***

(5)
First-principles (PBE) data for a relaxed structure of BeSiRu, as listed in Alexandria via LeMat-Bulk.

a = 5.7001 Å, b = 3.0595 Å, c = 8.1179 Å
α = 90.00°, β = 90.00°, γ = 90.00°
With the nearest neighbours (Å) after each atom.
Space group Pnma (No. 62)
Unique sites:
Be: 0.1201 0.2500 0.0389 [4 per cell]  2 Be 2.15, 3 Ru 2.37-2.40, 2 Si 2.38
Si: 0.0843 0.2500 0.6239 [4 per cell]  2 Be 2.38, 5 Ru 2.46-2.55
Ru: 0.2473 0.2500 0.3308 [4 per cell]  4 Be 2.37-2.48, 5 Si 2.46-2.55

Computed properties:
Uncorrected formation energy (eV per atom): -0.50
Energy relative to the lowest polymorph listed for this composition (eV per atom): 0.088

***

(6)
First-principles (PBE) data for a relaxed structure of BeSi3Ru, as listed in Alexandria via LeMat-Bulk.

a = 4.1480 Å, b = 4.1480 Å, c = 4.1480 Å
α = 90.00°, β = 90.00°, γ = 90.00°
With the nearest neighbours (Å) after each atom.
Space group Pm-3m (No. 221)
Unique sites:
Be: 0.0000 0.0000 0.0000 [1 per cell]  6 Si 2.07
Si: 0.0000 0.0000 0.5000 [3 per cell]  2 Be 2.07
Ru: 0.5000 0.5000 0.5000 [1 per cell]  12 Si 2.93

Computed properties:
Uncorrected formation energy (eV per atom): 0.89
Energy relative to the lowest polymorph listed for this composition (eV per atom): 0.082